A geometry-optimized Pr3GaOs structure, computed with PBE.

SG: P-1
polymorph energy (0 for the lowest one): 0.19 eV/f.u.
ΔH_f (0 K): -0.158 eV/atom

a = 4.0576 Å, b = 8.4585 Å, c = 8.5399 Å
α = 92.38°, β = 90.00°, γ = 103.86°
With the nearest neighbours (Å) after each atom.
Atoms (fractional coordinates):
Pr 0.0563 0.1115 0.1870  4 Ga 3.19-3.36, 1 Os 3.25
Pr 0.2445 0.4884 0.8060  3 Os 2.99-3.20, 2 Ga 3.28
Pr 0.4010 0.8023 0.4583  3 Os 2.92-3.11, 1 Ga 3.19
Pr 0.5990 0.1977 0.5417  3 Os 2.92-3.11, 1 Ga 3.19
Pr 0.7555 0.5116 0.1940  3 Os 2.99-3.20, 2 Ga 3.28
Pr 0.9437 0.8885 0.8130  4 Ga 3.19-3.36, 1 Os 3.25
Ga 0.3990 0.7986 0.0848  8 Pr 3.19-3.41
Ga 0.6010 0.2014 0.9152  8 Pr 3.19-3.41
Os 0.2128 0.4238 0.4336  2 Os 2.61-2.62, 1 Pr 2.92
Os 0.7872 0.5762 0.5664  2 Os 2.61-2.62, 1 Pr 2.92

---

A geometry-optimized Pr3Ga8Os structure, computed with PBE.

SG: I-42m
ΔH_f (0 K): -0.119 eV/atom

a = 7.3107 Å, b = 7.3107 Å, c = 7.3107 Å
α = 116.35°, β = 116.35°, γ = 96.45°
With the nearest neighbours (Å) after each atom.
Atoms (fractional coordinates):
Pr 0.0000 0.0000 0.0000  8 Ga 2.94-3.00
Pr 0.2500 0.7500 0.5000  4 Ga 3.07
Pr 0.7500 0.2500 0.5000  4 Ga 3.07
Ga 0.1536 0.1536 0.7549  1 Os 2.56, 2 Ga 2.67-2.73
Ga 0.2400 0.7025 0.0000  1 Os 2.54, 1 Ga 2.73
Ga 0.2975 0.2975 0.5375  1 Os 2.54, 1 Ga 2.73
Ga 0.3987 0.3987 0.2451  1 Os 2.56, 2 Ga 2.67-2.73
Ga 0.6013 0.8464 0.0000  1 Os 2.56, 2 Ga 2.67-2.73
Ga 0.7025 0.2400 0.0000  1 Os 2.54, 1 Ga 2.73
Ga 0.7600 0.7600 0.4625  1 Os 2.54, 1 Ga 2.73
Ga 0.8464 0.6013 0.0000  1 Os 2.56, 2 Ga 2.67-2.73
Os 0.5000 0.5000 0.0000  8 Ga 2.54-2.56

---

A geometry-optimized Pr4GaOs structure, computed with PBE.

SG: C2/c
ΔH_f (0 K): -0.225 eV/atom

a = 8.2988 Å, b = 8.2988 Å, c = 6.3541 Å
α = 104.80°, β = 104.80°, γ = 113.72°
With the nearest neighbours (Å) after each atom.
Atoms (fractional coordinates):
Pr 0.0584 0.7041 0.9185  2 Os 3.08, 2 Ga 3.18-3.30
Pr 0.2200 0.3544 0.6850  2 Os 2.93-2.97, 1 Ga 3.23
Pr 0.2959 0.9416 0.5815  2 Os 3.08, 2 Ga 3.18-3.30
Pr 0.3544 0.2200 0.1850  2 Os 2.93-2.97, 1 Ga 3.23
Pr 0.6456 0.7800 0.8150  2 Os 2.93-2.97, 1 Ga 3.23
Pr 0.7041 0.0584 0.4185  2 Os 3.08, 2 Ga 3.18-3.30
Pr 0.7800 0.6456 0.3150  2 Os 2.93-2.97, 1 Ga 3.23
Pr 0.9416 0.2959 0.0815  2 Os 3.08, 2 Ga 3.18-3.30
Ga 0.3729 0.6271 0.2500  8 Pr 3.18-3.30
Ga 0.6271 0.3729 0.7500  8 Pr 3.18-3.30
Os 0.0010 0.9990 0.2500  8 Pr 2.93-3.08, 2 Os 3.18
Os 0.9990 0.0010 0.7500  8 Pr 2.93-3.08, 2 Os 3.18

---

A geometry-optimized Pr6Ga2Os structure, computed with PBE.

SG: P2_1/c
ΔH_f (0 K): -0.227 eV/atom

a = 6.2083 Å, b = 9.1519 Å, c = 10.4604 Å
α = 90.00°, β = 116.37°, γ = 90.00°
With the nearest neighbours (Å) after each atom.
Atoms (fractional coordinates):
Pr 0.0694 0.1777 0.4814  1 Os 3.00, 2 Ga 3.04, 1 Pr 3.31
Pr 0.0694 0.3223 0.9814  1 Os 3.00, 2 Ga 3.04, 1 Pr 3.31
Pr 0.3488 0.6744 0.4449  1 Os 2.95, 2 Ga 3.05-3.27
Pr 0.3488 0.8256 0.9449  1 Os 2.95, 2 Ga 3.05-3.27
Pr 0.3725 0.0324 0.2735  1 Os 2.78
Pr 0.3725 0.4676 0.7735  1 Os 2.78
Pr 0.6275 0.5324 0.2265  1 Os 2.78
Pr 0.6275 0.9676 0.7265  1 Os 2.78
Pr 0.6512 0.1744 0.0551  1 Os 2.95, 2 Ga 3.05-3.27
Pr 0.6512 0.3256 0.5551  1 Os 2.95, 2 Ga 3.05-3.27
Pr 0.9306 0.6777 0.0186  1 Os 3.00, 2 Ga 3.04, 1 Pr 3.31
Pr 0.9306 0.8223 0.5186  1 Os 3.00, 2 Ga 3.04, 1 Pr 3.31
Ga 0.1365 0.1071 0.7811  1 Os 2.94, 5 Pr 3.04-3.27
Ga 0.1365 0.3929 0.2811  1 Os 2.94, 5 Pr 3.04-3.27
Ga 0.8635 0.6071 0.7189  1 Os 2.94, 5 Pr 3.04-3.27
Ga 0.8635 0.8929 0.2189  1 Os 2.94, 5 Pr 3.04-3.27
Os 0.0000 0.0000 0.0000  6 Pr 2.78-3.00, 2 Ga 2.94
Os 0.0000 0.5000 0.5000  6 Pr 2.78-3.00, 2 Ga 2.94

---

Q: Which formula does entry 1 have?
A: Pr3GaOs

---

Q: ΔH_f (0 K) of number 4 (Pr6Ga2Os)?
A: -0.227 eV/atom

---

Q: What is the ΔH_f (0 K) in the fourth record?
A: -0.227 eV/atom

---

Q: Among the records above, which one has the lowest ΔH_f (0 K)?
A: Pr6Ga2Os